Entry 1:
Below is RbV2GeCl8 after structural relaxation, with properties calculated at the PBE level.

SG: P2/m (10)
E_form (uncorrected) (meV per atom): -1124
Density of states at the Fermi level (states/eV per atom): 0.8403
Electronic total energy (Ry/atom): -0.3190

a b c (Å): 6.4985 6.2040 7.7221
angles (deg): 89.97 89.97 87.20
Site moments in Bohr magnetons follow the coordinates.
Positions (direct):
1 Cl 0.8171 0.2830 0.2200  -0.01
2 Cl 0.3840 0.2946 0.5002  -0.04
3 Cl 0.8173 0.2833 0.7798  -0.01
4 Cl 0.3638 0.2782 0.0001  -0.03
5 Cl 0.6160 0.7054 0.4998  -0.04
6 Cl 0.1827 0.7167 0.2202  -0.01
7 Cl 0.6362 0.7218 0.9999  -0.03
8 Cl 0.1829 0.7170 0.7800  -0.01
9 V 0.4999 0.5000 0.2456  2.26
10 V 0.5001 0.5000 0.7544  2.26
11 Rb 0.0000 0.0000 0.5000  0.00
12 Ge 0.0000 0.0000 0.0000  0.03



Entry 2:
Below is NaMgPbCl5 after structural relaxation, with properties calculated at the PBE level.

SG: C2/c (15)
E_form (uncorrected) (meV per atom): -1524
Density of states at the Fermi level (states/eV per atom): 0.0000
Electronic total energy (Ry/atom): -0.2577

a b c (Å): 7.1621 7.1621 10.8901
angles (deg): 112.34 112.34 90.59
Positions (direct):
1 Cl 0.2647 0.3178 0.6443
2 Cl 0.2014 0.7200 0.9769
3 Cl 0.7353 0.6822 0.3557
4 Cl 0.9921 0.0079 0.7500
5 Cl 0.6822 0.7353 0.8557
6 Cl 0.3178 0.2647 0.1443
7 Cl 0.7986 0.2800 0.0231
8 Cl 0.0079 0.9921 0.2500
9 Cl 0.2800 0.7986 0.5231
10 Cl 0.7200 0.2014 0.4769
11 Na 0.7330 0.2670 0.2500
12 Na 0.2670 0.7330 0.7500
13 Mg 0.0000 0.0000 0.5000
14 Mg 0.0000 0.0000 0.0000
15 Pb 0.3144 0.6856 0.2500
16 Pb 0.6856 0.3144 0.7500



Entry 3:
Below is PuCd2Ag6 after structural relaxation, with properties calculated at the PBE level.

SG: Immm (71)
Density of states at the Fermi level (states/eV per atom): 1.1160
Electronic total energy (Ry/atom): -0.2690

a b c (Å): 2.9981 8.5168 8.5168
angles (deg): 58.60 79.86 79.86
Site moments in Bohr magnetons follow the coordinates.
Positions (direct):
1 Ag 0.5000 0.3330 0.6670  0.01
2 Ag 0.6740 0.6508 0.0012  0.01
3 Ag 0.6740 0.0012 0.6508  0.01
4 Ag 0.3260 0.3492 0.9988  0.01
5 Ag 0.3260 0.9988 0.3492  0.01
6 Ag 0.5000 0.6670 0.3330  0.01
7 Pu 0.0000 0.0000 0.0000  5.65
8 Cd 0.8476 0.6524 0.6524  0.00
9 Cd 0.1524 0.3476 0.3476  0.00



Entry 4:
Below is CeMgGaCo after structural relaxation, with properties calculated at the PBE level.

SG: F-43m (216)
Density of states at the Fermi level (states/eV per atom): 0.9825
Electronic total energy (Ry/atom): -0.3369

a b c (Å): 4.7452 4.7452 4.7452
angles (deg): 60.00 60.00 60.00
Site moments in Bohr magnetons follow the coordinates.
Positions (direct):
1 Ga 0.0000 0.0000 0.0000  0.01
2 Ce 0.7500 0.7500 0.7500  -0.38
3 Mg 0.2500 0.2500 0.2500  0.00
4 Co 0.5000 0.5000 0.5000  0.83



Repeat the second record exactly.
Below is NaMgPbCl5 after structural relaxation, with properties calculated at the PBE level.

SG: C2/c (15)
E_form (uncorrected) (meV per atom): -1524
Density of states at the Fermi level (states/eV per atom): 0.0000
Electronic total energy (Ry/atom): -0.2577

a b c (Å): 7.1621 7.1621 10.8901
angles (deg): 112.34 112.34 90.59
Positions (direct):
1 Cl 0.2647 0.3178 0.6443
2 Cl 0.2014 0.7200 0.9769
3 Cl 0.7353 0.6822 0.3557
4 Cl 0.9921 0.0079 0.7500
5 Cl 0.6822 0.7353 0.8557
6 Cl 0.3178 0.2647 0.1443
7 Cl 0.7986 0.2800 0.0231
8 Cl 0.0079 0.9921 0.2500
9 Cl 0.2800 0.7986 0.5231
10 Cl 0.7200 0.2014 0.4769
11 Na 0.7330 0.2670 0.2500
12 Na 0.2670 0.7330 0.7500
13 Mg 0.0000 0.0000 0.5000
14 Mg 0.0000 0.0000 0.0000
15 Pb 0.3144 0.6856 0.2500
16 Pb 0.6856 0.3144 0.7500



Q: density of states at the Fermi level of number 1 (RbV2GeCl8)?
A: 0.8403 states/eV per atom